Record 1
CrMoIr2 (meta-GGA SCAN, PBEsol geometry); space group = No. 139; DOS at the Fermi energy = 2.76 states/eV per cell; energy = -196.87 eV for the cell shown
1.0
-1.5591 3.2641 1.1643
0.0372 -1.2609 3.5846
4.2127 0.4747 -1.8909
Cr Mo Ir
1 1 2
Cartesian
-0.7610 1.0016 2.3745
0.0000 0.0000 0.0000
0.9463 2.3702 0.8239
1.7444 0.1077 2.0341



Record 2
CrMoIr2 (meta-GGA SCAN, PBEsol geometry); space group = No. 65; DOS at the Fermi energy = 3.52 states/eV per cell; energy = -196.67 eV for the cell shown
1.0
2.6963 0.0000 0.0000
0.0000 4.6383 -0.0004
0.0000 -1.5302 4.3786
Cr Mo Ir
1 1 2
Cartesian
1.3482 1.5540 2.1891
1.3482 0.0000 0.0000
0.0000 2.3192 -0.0002
0.0000 -0.7651 2.1893



Record 3
CrMoIr2 (meta-GGA SCAN, PBEsol geometry); space group = No. 47; DOS at the Fermi energy = 2.99 states/eV per cell; energy = -196.71 eV for the cell shown
1.0
-1.5329 -2.1704 -0.4536
1.4884 -1.6830 3.0228
-3.8846 2.0996 3.0818
Cr Mo Ir
1 1 2
Cartesian
-1.9645 -0.8769 2.8255
-0.0222 -1.9267 1.2846
-2.8801 1.5566 2.2848
-1.0045 0.5429 0.7969



Record 4
CrMoIr2 (meta-GGA SCAN, PBEsol geometry); space group = No. 25; DOS at the Fermi energy = 3.15 states/eV per cell; energy = -196.76 eV for the cell shown
1.0
-1.4540 -0.7725 2.1502
-3.3588 -0.7963 -2.5574
1.4883 -4.4154 -0.5799
Cr Mo Ir
1 1 2
Cartesian
-2.1025 -1.6861 -0.3220
0.0733 -2.7607 0.7633
0.0834 -0.2473 -0.0325
-0.6345 -3.4979 -1.6858



Record 5
CrMoIr (meta-GGA SCAN, PBEsol geometry); space group = No. 156; DOS at the Fermi energy = 2.62 states/eV per cell; energy = -124.05 eV for the cell shown
1.0
2.6765 0.0000 0.0000
-1.3382 2.3179 0.0000
0.0000 0.0000 6.6433
Cr Ir Mo
1 1 1
Cartesian
0.0000 0.0000 6.5673
0.0000 1.5453 4.5332
1.3382 0.7726 2.1861



Record 6
Cr4MoIr (meta-GGA SCAN, PBEsol geometry); space group = No. 216; DOS at the Fermi energy = 5.52 states/eV per cell; energy = -179.79 eV for the cell shown
1.0
-0.7075 1.7424 4.3124
0.4179 -2.7924 3.7631
3.6307 0.5447 2.9418
Cr Mo Ir
4 1 1
Cartesian
0.2583 -0.5917 5.4139
2.4500 -1.1968 4.7215
1.8814 1.0943 4.9990
2.0925 -0.3165 6.9002
0.0000 0.0000 0.0000
0.8353 -0.1263 2.7543



Record 7
TiCrMoIr2 (meta-GGA SCAN, PBEsol geometry); space group = No. 123; DOS at the Fermi energy = 4.10 states/eV per cell; energy = -206.85 eV for the cell shown
1.0
4.2202 0.0000 0.0000
0.0000 4.4182 0.0000
0.0000 0.0000 4.4182
Cr Mo Ir Ti
1 1 2 1
Cartesian
0.0000 0.0000 0.0000
2.1101 2.2091 2.2091
0.0000 0.0000 2.2091
0.0000 2.2091 0.0000
2.1101 0.0000 0.0000



Record 8
CrIrN2 (meta-GGA SCAN, PBEsol geometry); space group = No. 225; DOS at the Fermi energy = 2.83 states/eV per cell; uncorrected formation energy = 103.5 kJ/mol of atoms
1.0
3.6838 0.0000 0.0000
1.8419 3.1903 0.0000
1.8419 1.0634 3.0078
Cr Ir N
1 1 2
Cartesian
0.0000 0.0000 0.0000
3.6838 2.1269 1.5039
1.8419 1.0634 0.7520
5.5257 3.1903 2.2559